# 1
# La6PmHo4 PBE optimized geometry
# D(E_F)	77.41	states/eV per cell
# ΔE to the lowest computed polymorph	0	meV/atom
# E_tot	-4.68	eV per atom
data_La6PmHo4
_chemical_formula_sum 'La24 Pm4 Ho16'
_space_group_name_H-M_alt 'C m c m'
_space_group_IT_number 63
_space_group_name_Hall '-C 2c 2'
_cell_length_a 5.924
_cell_length_b 9.868
_cell_length_c 26.341
_cell_angle_alpha 90.00
_cell_angle_beta 90.00
_cell_angle_gamma 90.00
loop_
_atom_site_label
_atom_site_type_symbol
_atom_site_fract_x
_atom_site_fract_y
_atom_site_fract_z
La1 La 0.000 0.000 0.000
La2 La 0.000 0.044 0.250
La3 La 0.000 0.307 0.597
La4 La 0.000 0.369 0.181
Pm1 Pm 0.000 0.297 0.750
Ho1 Ho 0.000 0.034 0.125
Ho2 Ho 0.000 0.345 0.045


# 2
# Er6Te3Rh2Au PBE optimized geometry
# D(E_F)	12.73	states/eV per cell
# E_tot	-5.61	eV per atom
# raw formation energy	-1.04	eV/atom
data_Er6Te3Rh2Au
_chemical_formula_sum 'Er12 Te6 Rh4 Au2'
_space_group_name_H-M_alt 'C 1 2/m 1'
_space_group_IT_number 12
_space_group_name_Hall '-C 2y'
_cell_length_a 7.155
_cell_length_b 12.363
_cell_length_c 7.599
_cell_angle_alpha 90.00
_cell_angle_beta 108.19
_cell_angle_gamma 90.00
loop_
_atom_site_label
_atom_site_type_symbol
_atom_site_fract_x
_atom_site_fract_y
_atom_site_fract_z
Er1 Er 0.216 0.000 0.207
Er2 Er 0.248 0.324 0.212
Te1 Te 0.000 0.000 0.500
Te2 Te 0.000 0.340 0.500
Rh1 Rh 0.000 0.168 0.000
Au1 Au 0.000 0.500 0.000


# 3
# Sc2Te2Pb PBE optimized geometry
# D(E_F)	7.76	states/eV per cell
# ΔE to the lowest computed polymorph	0	meV/atom
# E_tot	-5.27	eV per atom
# raw formation energy	-0.74	eV/atom
data_Sc2Te2Pb
_chemical_formula_sum 'Sc4 Te4 Pb2'
_space_group_name_H-M_alt 'P 4/m b m'
_space_group_IT_number 127
_space_group_name_Hall '-P 4 2ab'
_cell_length_a 8.186
_cell_length_b 8.186
_cell_length_c 3.802
_cell_angle_alpha 90.00
_cell_angle_beta 90.00
_cell_angle_gamma 90.00
loop_
_atom_site_label
_atom_site_type_symbol
_atom_site_fract_x
_atom_site_fract_y
_atom_site_fract_z
Sc1 Sc 0.150 0.350 0.000
Te1 Te 0.146 0.646 0.500
Pb1 Pb 0.000 0.000 0.000


# 4
# TmPaPtRh PBE optimized geometry
# D(E_F)	8.32	states/eV per cell
# ΔE to the lowest computed polymorph	0	meV/atom
# E_tot	-7.89	eV per atom
data_TmPaPtRh
_chemical_formula_sum 'Tm2 Pa2 Pt2 Rh2'
_space_group_name_H-M_alt 'A m m 2'
_space_group_IT_number 38
_space_group_name_Hall 'A 2 -2'
_cell_length_a 4.237
_cell_length_b 3.682
_cell_length_c 10.952
_cell_angle_alpha 90.00
_cell_angle_beta 90.00
_cell_angle_gamma 90.00
loop_
_atom_site_label
_atom_site_type_symbol
_atom_site_fract_x
_atom_site_fract_y
_atom_site_fract_z
Tm1 Tm 0.000 0.000 0.000
Pa1 Pa 0.500 0.000 0.724
Pt1 Pt 0.500 0.000 0.448
Rh1 Rh 0.000 0.000 0.258


# 5
# BaScSN2 PBE optimized geometry
# D(E_F)	2.21	states/eV per cell
# ΔE to the lowest computed polymorph	1564	meV/atom
# E_tot	-4.73	eV per atom
# raw formation energy	1.08	eV/atom
data_BaScSN2
_chemical_formula_sum 'Ba1 Sc1 S1 N2'
_space_group_name_H-M_alt 'P 4/m m m'
_space_group_IT_number 123
_space_group_name_Hall '-P 4 2'
_cell_length_a 4.419
_cell_length_b 4.419
_cell_length_c 5.939
_cell_angle_alpha 90.00
_cell_angle_beta 90.00
_cell_angle_gamma 90.00
loop_
_atom_site_label
_atom_site_type_symbol
_atom_site_fract_x
_atom_site_fract_y
_atom_site_fract_z
Ba1 Ba 0.000 0.000 0.000
Sc1 Sc 0.500 0.500 0.500
S1 S 0.000 0.000 0.500
N1 N 0.000 0.500 0.000


# 6
# RbNaSc2Ga PBE optimized geometry
# D(E_F)	5.79	states/eV per cell
# E_tot	-2.16	eV per atom
data_RbNaSc2Ga
_chemical_formula_sum 'Rb1 Na1 Sc2 Ga1'
_space_group_name_H-M_alt 'P 4/m m m'
_space_group_IT_number 123
_space_group_name_Hall '-P 4 2'
_cell_length_a 5.324
_cell_length_b 5.324
_cell_length_c 5.212
_cell_angle_alpha 90.00
_cell_angle_beta 90.00
_cell_angle_gamma 90.00
loop_
_atom_site_label
_atom_site_type_symbol
_atom_site_fract_x
_atom_site_fract_y
_atom_site_fract_z
Rb1 Rb 0.000 0.000 0.000
Na1 Na 0.000 0.000 0.500
Sc1 Sc 0.000 0.500 0.000
Ga1 Ga 0.500 0.500 0.500


# 7
# Er2Mg3Cd4 PBE optimized geometry
# D(E_F)	24.25	states/eV per cell
# ΔE to the lowest computed polymorph	52	meV/atom
# E_tot	-2.12	eV per atom
data_Er2Mg3Cd4
_chemical_formula_sum 'Er8 Mg12 Cd16'
_space_group_name_H-M_alt 'C m c e'
_space_group_IT_number 64
_space_group_name_Hall '-C 2ac 2'
_cell_length_a 6.133
_cell_length_b 17.257
_cell_length_c 8.131
_cell_angle_alpha 90.00
_cell_angle_beta 90.00
_cell_angle_gamma 90.00
loop_
_atom_site_label
_atom_site_type_symbol
_atom_site_fract_x
_atom_site_fract_y
_atom_site_fract_z
Er1 Er 0.000 0.094 0.105
Mg1 Mg 0.000 0.000 0.500
Mg2 Mg 0.250 0.240 0.750
Cd1 Cd 0.000 0.165 0.478
Cd2 Cd 0.250 0.069 0.750


# 8
# CrAu2 PBE optimized geometry
# D(E_F)	5.34	states/eV per cell
# E_tot	-5.21	eV per atom
data_CrAu2
_chemical_formula_sum 'Cr3 Au6'
_space_group_name_H-M_alt 'P -6 2 m'
_space_group_IT_number 189
_space_group_name_Hall 'P -6 -2'
_cell_length_a 7.7838
_cell_length_b 7.7838
_cell_length_c 2.9827
_cell_angle_alpha 90.00
_cell_angle_beta 90.00
_cell_angle_gamma 120.00
loop_
_atom_site_label
_atom_site_type_symbol
_atom_site_fract_x
_atom_site_fract_y
_atom_site_fract_z
Cr1 Cr 0.0000 0.0000 0.0000
Cr2 Cr 0.3333 0.6667 0.5000
Au1 Au 0.0000 0.3007 0.5000
Au2 Au 0.0000 0.6354 0.0000


# 9
# YCuRe2Cl PBE optimized geometry
# D(E_F)	3.54	states/eV per cell
# E_tot	-4.88	eV per atom
# raw formation energy	2.58	eV/atom
data_YCuRe2Cl
_chemical_formula_sum 'Y1 Cu1 Re2 Cl1'
_space_group_name_H-M_alt 'P 4/m m m'
_space_group_IT_number 123
_space_group_name_Hall '-P 4 2'
_cell_length_a 5.308
_cell_length_b 5.308
_cell_length_c 5.156
_cell_angle_alpha 90.00
_cell_angle_beta 90.00
_cell_angle_gamma 90.00
loop_
_atom_site_label
_atom_site_type_symbol
_atom_site_fract_x
_atom_site_fract_y
_atom_site_fract_z
Y1 Y 0.000 0.000 0.000
Cu1 Cu 0.000 0.000 0.500
Re1 Re 0.000 0.500 0.000
Cl1 Cl 0.500 0.500 0.500


# 10
# TbAgPbCl6 PBE optimized geometry
# D(E_F)	0.00	states/eV per cell
# E_tot	-3.97	eV per atom
# raw formation energy	-1.49	eV/atom
data_TbAgPbCl6
_chemical_formula_sum 'Tb2 Ag2 Pb2 Cl12'
_space_group_name_H-M_alt 'P -3 1 c'
_space_group_IT_number 163
_space_group_name_Hall '-P 3 2c'
_cell_length_a 6.9227
_cell_length_b 6.9227
_cell_length_c 12.7956
_cell_angle_alpha 90.00
_cell_angle_beta 90.00
_cell_angle_gamma 120.00
loop_
_atom_site_label
_atom_site_type_symbol
_atom_site_fract_x
_atom_site_fract_y
_atom_site_fract_z
Tb1 Tb 0.3333 0.6667 0.2500
Ag1 Ag 0.3333 0.6667 0.7500
Pb1 Pb 0.0000 0.0000 0.0000
Cl1 Cl 0.0127 0.3541 0.1304


# 11
# CaPrSc2Pt2 PBE optimized geometry
# D(E_F)	7.36	states/eV per cell
# E_tot	-5.97	eV per atom
data_CaPrSc2Pt2
_chemical_formula_sum 'Ca1 Pr1 Sc2 Pt2'
_space_group_name_H-M_alt 'P -3 m 1'
_space_group_IT_number 164
_space_group_name_Hall '-P 3 2"'
_cell_length_a 4.8472
_cell_length_b 4.8472
_cell_length_c 6.7876
_cell_angle_alpha 90.00
_cell_angle_beta 90.00
_cell_angle_gamma 120.00
loop_
_atom_site_label
_atom_site_type_symbol
_atom_site_fract_x
_atom_site_fract_y
_atom_site_fract_z
Ca1 Ca 0.0000 0.0000 0.0000
Pr1 Pr 0.0000 0.0000 0.5000
Sc1 Sc 0.3333 0.6667 0.1864
Pt1 Pt 0.3333 0.6667 0.7643


# 12
# Cu2SiIr PBE optimized geometry
# D(E_F)	1.23	states/eV per cell
# E_tot	-5.78	eV per atom
# raw formation energy	-0.16	eV/atom
data_Cu2SiIr
_chemical_formula_sum 'Cu2 Si1 Ir1'
_space_group_name_H-M_alt 'P 1 2/m 1'
_space_group_IT_number 10
_space_group_name_Hall '-P 2y'
_cell_length_a 4.144
_cell_length_b 2.816
_cell_length_c 4.573
_cell_angle_alpha 90.00
_cell_angle_beta 105.48
_cell_angle_gamma 90.00
loop_
_atom_site_label
_atom_site_type_symbol
_atom_site_fract_x
_atom_site_fract_y
_atom_site_fract_z
Cu1 Cu 0.000 0.000 0.000
Cu2 Cu 0.500 0.500 0.000
Si1 Si 0.000 0.500 0.500
Ir1 Ir 0.500 0.000 0.500


- Which of these has the lowest D(E_F)?
  TbAgPbCl6